# 1
This record from the Alexandria database describes crystalline Tl2GeSe4 at its relaxed geometry. The functional is PBE-GGA.

a = 6.6257 Å, b = 6.6257 Å, c = 7.1228 Å
α = 116.37°, β = 116.37°, γ = 92.58°
Closest atoms and distances in Å follow each position.
Positions (direct):
Tl1 0.2888 0.7112 0.5000  4 Se 2.84-2.98
Tl2 0.7888 0.2112 0.5000  4 Se 2.84-2.98
Ge1 0.9965 0.0035 0.0000  4 Se 2.39-2.40
Se1 0.6423 0.9123 0.0000  1 Ge 2.40
Se2 0.0877 0.3577 0.0000  1 Ge 2.40
Se3 0.2981 0.1023 0.4004  1 Ge 2.39
Se4 0.8977 0.7019 0.5996  1 Ge 2.39

# 2
This record from the Alexandria database describes crystalline TlGeSe at its relaxed geometry. The functional is PBE-GGA.

a = 3.6485 Å, b = 3.6485 Å, c = 6.9950 Å
α = 90.00°, β = 90.00°, γ = 120.00°
Closest atoms and distances in Å follow each position.
Positions (direct):
Tl1 0.3333 0.6667 0.6671  3 Se 3.45, 3 Ge 3.46, 6 Tl 3.65
Ge1 0.6667 0.3333 0.2750  3 Se 2.60
Se1 0.0000 0.0000 0.0579  3 Ge 2.60

# 3
This record from the Alexandria database describes crystalline Tl5GeSe6 at its relaxed geometry. The functional is PBE-GGA.

a = 7.5085 Å, b = 7.2588 Å, c = 7.3194 Å
α = 60.27°, β = 80.70°, γ = 70.97°
Closest atoms and distances in Å follow each position.
Positions (direct):
Tl1 0.5000 0.1721 0.6557  6 Se 3.09-3.17
Tl2 0.0000 0.3361 0.3278  6 Se 2.94-2.98
Tl3 0.5000 0.5000 0.0000  6 Se 3.09-3.18
Tl4 0.0000 0.6639 0.6722  6 Se 2.94-2.98
Tl5 0.5000 0.8279 0.3443  6 Se 3.09-3.17
Ge1 0.0000 0.0000 0.0000  6 Se 2.82-2.83
Se1 0.7767 0.0746 0.3185  1 Ge 2.82, 4 Tl 2.94-3.09
Se2 0.2233 0.6068 0.3185  1 Ge 2.82, 4 Tl 2.94-3.09
Se3 0.2295 0.2412 0.0000  1 Ge 2.83, 4 Tl 2.95-3.11
Se4 0.7705 0.7588 0.0000  1 Ge 2.83, 4 Tl 2.95-3.11
Se5 0.7767 0.3932 0.6815  1 Ge 2.82, 4 Tl 2.94-3.09
Se6 0.2233 0.9254 0.6815  1 Ge 2.82, 4 Tl 2.94-3.09

# 4
This record from the Alexandria database describes crystalline Tl5GeSe4 at its relaxed geometry. The functional is PBE-GGA.

Properties
ΔE to the lowest computed polymorph in meV per atom: 26

a = 4.2433 Å, b = 8.1178 Å, c = 9.5823 Å
α = 106.82°, β = 102.79°, γ = 90.00°
Closest atoms and distances in Å follow each position.
Positions (direct):
Tl1 0.1861 0.3240 0.3721  3 Se 3.01-3.03
Tl2 0.1617 0.7912 0.3235  4 Se 2.99-3.33
Tl3 0.8383 0.2088 0.6765  4 Se 2.99-3.33
Tl4 0.5000 0.5000 0.0000  4 Se 3.12
Tl5 0.8139 0.6760 0.6279  3 Se 3.01-3.03
Ge1 0.5000 0.0000 0.0000  6 Se 2.76-2.80
Se1 0.6523 0.0442 0.3045  1 Ge 2.76, 4 Tl 2.99-3.03
Se2 0.0179 0.2335 0.0359  2 Ge 2.80, 3 Tl 3.01-3.12
Se3 0.3477 0.9558 0.6955  1 Ge 2.76, 4 Tl 2.99-3.03
Se4 0.9821 0.7665 0.9641  2 Ge 2.80, 3 Tl 3.01-3.12

What did we get for VASP energy? Answer: -24.88, -10.78, -40.30, -33.27 eV for the cell shown, in the order shown.
What did we get for E_form (uncorrected)? Answer: -1.59, -0.31, -2.95, -2.89 eV/f.u., in the order shown.